Entry 1:
LaErPd: optimized geometry, PBE.

a b c (Å): 6.7871 7.1446 8.5551
angles (deg): 90.00 123.91 90.00
Closest atoms and distances in Å follow each position.
Space group P2_1/c (No. 14)
One atom of each set of equivalent atoms:
La  0.2384  0.1632  0.4348 x4  4 Pd 3.09-3.42
Er  0.2576  0.6503  0.5716 x4  3 Pd 2.77-2.84
Pd  0.3040  0.5368  0.2805 x4  3 Er 2.77-2.84, 1 La 3.09

Results
ΔH_f (0 K) (eV/atom): -0.49
Theoretical density (g cm⁻³): 8.0
Offset from the most stable computed form (eV per atom): 0.040

=====

Entry 2:
LaEr3Pd: optimized geometry, PBE.

a b c (Å): 5.4511 5.4511 5.4511
angles (deg): 90.00 90.00 90.00
Closest atoms and distances in Å follow each position.
Space group Pm-3m (No. 221)
One atom of each set of equivalent atoms:
La  0.0000  0.0000  0.0000 x1  12 Er 3.85
Er  0.0000  0.5000  0.5000 x3  2 Pd 2.73
Pd  0.5000  0.5000  0.5000 x1  6 Er 2.73

Results
ΔH_f (0 K) (eV/atom): -0.21
Theoretical density (g cm⁻³): 7.7

=====

Entry 3:
LaErPd4: optimized geometry, PBE.

a b c (Å): 4.2406 19.9321 5.7792
angles (deg): 90.00 90.00 90.00
Closest atoms and distances in Å follow each position.
Space group Cmcm (No. 63)
One atom of each set of equivalent atoms:
La  0.0000  0.2195  0.2500 x4  7 Pd 2.97-3.10
Er  0.0000  0.0738  0.7500 x4  11 Pd 2.88-2.96
Pd  0.0000  0.0705  0.2500 x4  3 Er 2.88-2.89, 8 Pd 2.93-2.94, 1 La 2.97
Pd  0.0000  0.3565  0.5042 x8  5 Pd 2.84-2.94, 2 Er 2.93, 3 La 2.97-3.10
Pd  0.0000  0.5000  0.0000 x4  8 Pd 2.86-2.93, 4 Er 2.96

Results
ΔH_f (0 K) (eV/atom): -0.87
Theoretical density (g cm⁻³): 10.0
Offset from the most stable computed form (eV per atom): 0.000

=====

Entry 4:
La2ErPd9: optimized geometry, PBE.

a b c (Å): 4.2006 4.2006 12.5069
angles (deg): 90.00 90.00 90.00
Closest atoms and distances in Å follow each position.
Space group P4/mmm (No. 123)
One atom of each set of equivalent atoms:
La  0.0000  0.0000  0.1720 x2  12 Pd 2.97-3.01
Er  0.0000  0.0000  0.5000 x1  12 Pd 2.89-2.97
Pd  0.0000  0.5000  0.0000 x2  8 Pd 2.97-2.98, 4 La 3.01
Pd  0.0000  0.5000  0.3409 x4  8 Pd 2.89-3.00, 2 Er 2.89, 2 La 2.98
Pd  0.5000  0.5000  0.1694 x2  4 La 2.97, 8 Pd 2.98-3.00
Pd  0.5000  0.5000  0.5000 x1  8 Pd 2.89, 4 Er 2.97

Results
ΔH_f (0 K) (eV/atom): -0.83
Theoretical density (g cm⁻³): 10.6

=====

Entry 5:
LaErPd: optimized geometry, PBE.

a b c (Å): 7.0682 7.0682 7.0682
angles (deg): 90.00 90.00 90.00
Closest atoms and distances in Å follow each position.
Space group F-43m (No. 216)
One atom of each set of equivalent atoms:
La  0.0000  0.0000  0.0000 x4  4 Pd 3.06
Er  0.0000  0.0000  0.5000 x4  4 Pd 3.06
Pd  0.2500  0.2500  0.7500 x4  4 La 3.06, 4 Er 3.06

Results
ΔH_f (0 K) (eV/atom): -0.43
Theoretical density (g cm⁻³): 7.8
Offset from the most stable computed form (eV per atom): 0.097

=====

Entry 6:
La2ErPd4: optimized geometry, PBE.

a b c (Å): 6.0229 8.3073 15.4065
angles (deg): 90.00 90.00 90.00
Closest atoms and distances in Å follow each position.
Space group Fmmm (No. 69)
One atom of each set of equivalent atoms:
La  0.0000  0.0000  0.1395 x8  3 Pd 2.82-3.07
Er  0.0000  0.0000  0.5000 x4  6 Pd 2.57-2.74
Pd  0.0000  0.0000  0.3225 x8  1 Er 2.74, 1 La 2.82
Pd  0.2500  0.2500  0.0000 x8  2 Er 2.57

Results
ΔH_f (0 K) (eV/atom): -0.39
Theoretical density (g cm⁻³): 7.5

=====

Entry 7:
LaErPd4: optimized geometry, PBE.

a b c (Å): 7.7779 7.7779 7.7779
angles (deg): 90.00 90.00 90.00
Closest atoms and distances in Å follow each position.
Space group F-43m (No. 216)
One atom of each set of equivalent atoms:
La  0.0000  0.0000  0.0000 x4  12 Pd 3.23, 4 Er 3.37
Er  0.2500  0.2500  0.2500 x4  12 Pd 3.22, 4 La 3.37
Pd  0.1244  0.1244  0.6244 x16  6 Pd 2.74-2.76

Results
ΔH_f (0 K) (eV/atom): -0.81
Theoretical density (g cm⁻³): 10.3
Offset from the most stable computed form (eV per atom): 0.065

=====

Entry 8:
LaEr5Pd2: optimized geometry, PBE.

a b c (Å): 3.8060 12.9911 18.0566
angles (deg): 90.00 90.00 90.00
Closest atoms and distances in Å follow each position.
Space group Cmcm (No. 63)
One atom of each set of equivalent atoms:
La  0.0000  0.1534  0.2500 x4  4 Pd 3.30, 3 Er 3.39-3.64
Er  0.0000  0.1078  0.7500 x4  2 Pd 2.79
Er  0.0000  0.1574  0.0439 x8  2 Pd 2.79
Er  0.0000  0.4466  0.0983 x8  2 Pd 3.05, 2 Er 3.41
Pd  0.0000  0.2334  0.6246 x8  5 Er 2.79-3.05

Results
ΔH_f (0 K) (eV/atom): -0.39
Theoretical density (g cm⁻³): 8.8

=====

Entry 9:
LaErPd6: optimized geometry, PBE.

a b c (Å): 4.1853 4.1853 8.2712
angles (deg): 90.00 90.00 90.00
Closest atoms and distances in Å follow each position.
Space group P4/mmm (No. 123)
One atom of each set of equivalent atoms:
La  0.0000  0.0000  0.0000 x1  12 Pd 2.96-2.99
Er  0.0000  0.0000  0.5000 x1  12 Pd 2.89-2.96
Pd  0.0000  0.5000  0.2590 x4  2 Er 2.89, 8 Pd 2.89-2.99, 2 La 2.99
Pd  0.5000  0.5000  0.0000 x1  4 La 2.96, 8 Pd 2.99
Pd  0.5000  0.5000  0.5000 x1  8 Pd 2.89, 4 Er 2.96

Results
ΔH_f (0 K) (eV/atom): -0.85
Theoretical density (g cm⁻³): 10.8

=====

Entry 10:
LaEr2Pd2: optimized geometry, PBE.

a b c (Å): 6.3400 7.0664 7.7428
angles (deg): 116.94 90.15 116.55
Closest atoms and distances in Å follow each position.
Space group P-1 (No. 2)
One atom of each set of equivalent atoms:
La  0.1321  0.0019  0.2512 x2  4 Pd 2.95-3.16
Er  0.2134  0.5866  0.7029 x2  4 Pd 2.79-3.02
Er  0.3722  0.5861  0.2017 x2  4 Pd 2.79-3.03
Pd  0.2511  0.8741  0.5372 x2  4 Er 2.79-3.03, 2 Pd 2.84-3.06, 1 La 2.95
Pd  0.3760  0.1256  0.9624 x2  4 Er 2.79-3.02, 2 Pd 2.84-3.06, 1 La 2.96

Results
ΔH_f (0 K) (eV/atom): -0.64
Theoretical density (g cm⁻³): 8.5

=====

Entry 11:
La2ErPd2: optimized geometry, PBE.

a b c (Å): 7.9829 7.9829 4.1388
angles (deg): 90.00 90.00 90.00
Closest atoms and distances in Å follow each position.
Space group P4/mbm (No. 127)
One atom of each set of equivalent atoms:
La  0.1694  0.3306  0.0000 x4  6 Pd 3.05-3.19
Er  0.0000  0.0000  0.5000 x2  4 Pd 3.12
Pd  0.1323  0.6323  0.5000 x4  1 Pd 2.99, 6 La 3.05-3.19, 2 Er 3.12

Results
ΔH_f (0 K) (eV/atom): -0.68
Theoretical density (g cm⁻³): 8.3

=====

Entry 12:
LaErPd3: optimized geometry, PBE.

a b c (Å): 9.2755 5.7540 8.4636
angles (deg): 90.00 101.63 90.00
Closest atoms and distances in Å follow each position.
Space group P2_1/c (No. 14)
One atom of each set of equivalent atoms:
La  0.1182  0.0911  0.2234 x4  5 Pd 2.92-3.12
Er  0.4428  0.7256  0.6210 x4  8 Pd 2.82-3.12
Pd  0.1190  0.6569  0.0328 x4  4 Pd 2.75-2.95, 2 La 2.97-2.98, 1 Er 3.02
Pd  0.2610  0.5442  0.3412 x4  4 Pd 2.75-2.90, 2 Er 2.82-3.06, 1 La 3.00
Pd  0.3488  0.2056  0.5783 x4  3 Pd 2.80-2.95, 4 Er 2.84-3.12, 1 La 2.92

Results
ΔH_f (0 K) (eV/atom): -0.84
Theoretical density (g cm⁻³): 9.4

=====

Entry 13:
LaEr2Pd9: optimized geometry, PBE.

a b c (Å): 4.1600 4.1600 12.3616
angles (deg): 90.00 90.00 90.00
Closest atoms and distances in Å follow each position.
Space group P4/mmm (No. 123)
One atom of each set of equivalent atoms:
La  0.0000  0.0000  0.0000 x1  12 Pd 2.94-2.99
Er  0.0000  0.0000  0.3385 x2  12 Pd 2.88-2.94
Pd  0.0000  0.5000  0.1741 x4  8 Pd 2.88-2.99, 2 Er 2.91, 2 La 2.99
Pd  0.0000  0.5000  0.5000 x2  4 Er 2.88, 8 Pd 2.91-2.94
Pd  0.5000  0.5000  0.0000 x1  4 La 2.94, 8 Pd 2.99
Pd  0.5000  0.5000  0.3356 x2  8 Pd 2.88-2.91, 4 Er 2.94

Results
ΔH_f (0 K) (eV/atom): -0.86
Theoretical density (g cm⁻³): 11.1

=====

Entry 14:
LaErPdPt: optimized geometry, PBE.

a b c (Å): 7.1531 7.1531 7.1531
angles (deg): 90.00 90.00 90.00
Closest atoms and distances in Å follow each position.
Space group F-43m (No. 216)
One atom of each set of equivalent atoms:
La  0.0000  0.0000  0.0000 x4  4 Pt 3.10, 4 Pd 3.10
Er  0.0000  0.0000  0.5000 x4  4 Pd 3.10, 4 Pt 3.10
Pd  0.2500  0.2500  0.2500 x4  4 La 3.10, 4 Er 3.10
Pt  0.2500  0.2500  0.7500 x4  4 Er 3.10, 4 La 3.10

Results
ΔH_f (0 K) (eV/atom): -0.98
Theoretical density (g cm⁻³): 11.0
Offset from the most stable computed form (eV per atom): 0.084

=====

Entry 15:
LaErPdPt: optimized geometry, PBE.

a b c (Å): 4.5697 3.8294 10.8046
angles (deg): 90.00 90.00 90.00
Closest atoms and distances in Å follow each position.
Space group Amm2 (No. 38)
One atom of each set of equivalent atoms:
La  0.0000  0.0000  0.0000 x2  3 Pt 2.93-3.13, 4 Pd 3.03
Er  0.5000  0.0000  0.7274 x2  4 Pt 3.02, 3 Pd 3.02-3.05
Pd  0.5000  0.0000  0.4476 x2  2 Pt 2.98, 3 Er 3.02-3.05, 4 La 3.03
Pt  0.0000  0.0000  0.2713 x2  3 La 2.93-3.13, 2 Pd 2.98, 4 Er 3.02

Results
ΔH_f (0 K) (eV/atom): -1.06
Theoretical density (g cm⁻³): 10.7
Offset from the most stable computed form (eV per atom): 0.000

=====

Entry 16:
LaErPdRu: optimized geometry, PBE.

a b c (Å): 7.0438 7.0438 7.0438
angles (deg): 90.00 90.00 90.00
Closest atoms and distances in Å follow each position.
Space group F-43m (No. 216)
One atom of each set of equivalent atoms:
La  0.0000  0.0000  0.0000 x4  4 Ru 3.05, 4 Pd 3.05
Er  0.0000  0.0000  0.5000 x4  4 Pd 3.05, 4 Ru 3.05
Pd  0.2500  0.2500  0.2500 x4  4 La 3.05, 4 Er 3.05
Ru  0.2500  0.2500  0.7500 x4  4 La 3.05, 4 Er 3.05

Results
ΔH_f (0 K) (eV/atom): -0.53
Theoretical density (g cm⁻³): 9.8

=====

Entry 17:
La2ErPdSe5: optimized geometry, PBE.

a b c (Å): 4.0568 17.5482 12.5946
angles (deg): 90.00 90.00 90.00
Closest atoms and distances in Å follow each position.
Space group Cmc2_1 (No. 36)
One atom of each set of equivalent atoms:
La  0.0000  0.1098  0.0000 x4  8 Se 3.10-3.39
La  0.0000  0.1258  0.3512 x4  8 Se 3.04-3.27
Er  0.0000  0.1766  0.6758 x4  6 Se 2.84-2.91, 2 Pd 3.17
Pd  0.0000  0.4434  0.0789 x4  4 Se 2.51-2.61
Se  0.0000  0.0146  0.6804 x4  2 Pd 2.51
Se  0.0000  0.3025  0.0132 x4  1 Pd 2.61, 2 Er 2.91
Se  0.0000  0.3075  0.3365 x4  2 Er 2.88, 1 La 3.19
Se  0.0000  0.3399  0.6719 x4  1 Er 2.87, 4 La 3.09-3.10
Se  0.0000  0.4994  0.8957 x4  1 Pd 2.51

Results
Theoretical density (g cm⁻³): 7.0
ΔE_f (raw) (eV/atom): -1.67

=====

Entry 18:
LaErSiPd: optimized geometry, PBE.

a b c (Å): 7.2075 7.2075 7.2075
angles (deg): 90.00 90.00 90.00
Closest atoms and distances in Å follow each position.
Space group F-43m (No. 216)
One atom of each set of equivalent atoms:
La  0.0000  0.0000  0.0000 x4  4 Pd 3.12, 4 Si 3.12
Er  0.0000  0.0000  0.5000 x4  4 Pd 3.12, 4 Si 3.12
Si  0.2500  0.2500  0.7500 x4  4 La 3.12, 4 Er 3.12
Pd  0.2500  0.2500  0.2500 x4  4 La 3.12, 4 Er 3.12

Results
Theoretical density (g cm⁻³): 7.8
ΔE_f (raw) (eV/atom): -0.67

=====

Entry 19:
LaErSnPd: optimized geometry, PBE.

a b c (Å): 7.4737 7.4737 7.4737
angles (deg): 90.00 90.00 90.00
Closest atoms and distances in Å follow each position.
Space group F-43m (No. 216)
One atom of each set of equivalent atoms:
La  0.0000  0.0000  0.0000 x4  4 Sn 3.24, 4 Pd 3.24
Er  0.0000  0.0000  0.5000 x4  4 Sn 3.24, 4 Pd 3.24
Sn  0.2500  0.2500  0.2500 x4  4 La 3.24, 4 Er 3.24
Pd  0.2500  0.2500  0.7500 x4  4 La 3.24, 4 Er 3.24

Results
ΔH_f (0 K) (eV/atom): -0.70
Theoretical density (g cm⁻³): 8.5

=====

Entry 20:
LaErTe3Pd: optimized geometry, PBE.

a b c (Å): 8.2781 4.2862 10.1673
angles (deg): 90.00 102.20 90.00
Closest atoms and distances in Å follow each position.
Space group P2_1/m (No. 11)
One atom of each set of equivalent atoms:
La  0.1940  0.2500  0.2908 x2  6 Te 3.19-3.34, 3 Pd 3.41-3.51
Er  0.3187  0.7500  0.8233 x2  6 Te 2.94-3.19
Te  0.0755  0.2500  0.8626 x2  1 Pd 2.73, 2 Er 3.02
Te  0.2714  0.7500  0.5281 x2  3 Pd 2.82-2.94, 1 Er 2.94
Te  0.4102  0.7500  0.1442 x2  3 Er 3.07-3.19, 2 La 3.34
Pd  0.0832  0.2500  0.5954 x2  4 Te 2.73-2.94, 2 Pd 3.02

Results
Theoretical density (g cm⁻³): 7.5
ΔE_f (raw) (eV/atom): -1.31